Entry from Alexandria via LeMat-Bulk: a crystal of NbBi3Te relaxed with PBEsol (SCAN).

a = 5.417 Å, b = 5.417 Å, c = 5.417 Å
α = 90.00°, β = 90.00°, γ = 90.00°
Space group Pm-3m (No. 221)
Asymmetric unit:
Nb1 0.000 0.000 0.000 [1 per cell]
Bi1 0.000 0.000 0.500 [3 per cell]
Te1 0.500 0.500 0.500 [1 per cell]

## Properties
Formation energy from raw total energies = 0.45 eV/atom

***

Entry from Alexandria via LeMat-Bulk: a crystal of Nb2TlBiTe relaxed with PBEsol (SCAN).

a = 5.306 Å, b = 5.306 Å, c = 5.455 Å
α = 90.00°, β = 90.00°, γ = 90.00°
Space group P4/mmm (No. 123)
Asymmetric unit:
Nb1 0.000 0.500 0.000 [2 per cell]
Tl1 0.000 0.000 0.000 [1 per cell]
Bi1 0.000 0.000 0.500 [1 per cell]
Te1 0.500 0.500 0.500 [1 per cell]

## Properties
Formation energy from raw total energies = 1.53 eV/atom

***

Entry from Alexandria via LeMat-Bulk: a crystal of Nb3TlBi relaxed with PBEsol (SCAN).

a = 5.116 Å, b = 5.116 Å, c = 5.116 Å
α = 90.00°, β = 90.00°, γ = 90.00°
Space group Pm-3m (No. 221)
Asymmetric unit:
Nb1 0.000 0.000 0.500 [3 per cell]
Tl1 0.500 0.500 0.500 [1 per cell]
Bi1 0.000 0.000 0.000 [1 per cell]

## Properties
E_form = 1.77 eV/atom